[1]
Density functional theory data (GGA-PBE) for a relaxed VCrPCl2 crystal.

Geometry as POSCAR:
```
VCrPCl2
1.0
-0.9395 -2.5119 3.6526
-3.5548 -1.8039 -2.1548
2.9301 -3.6643 -1.7662
Cl V Cr P
2 1 1 1
Cartesian
-1.7774 -0.9019 -1.0774 Cl
-0.4698 -1.2559 1.8263 Cl
-0.7821 -3.9900 -0.1342 V
0.0000 0.0000 0.0000 Cr
1.4650 -1.8321 -0.8831 P
```

Energy above the lowest structure with this stoichiometry (meV per atom): 417
D(E_F) (states/eV per cell): 11.5

***

[2]
Density functional theory data (GGA-PBE) for a relaxed RbAc2Bi crystal.

Geometry as POSCAR:
```
RbAc2Bi
1.0
4.5018 0.0000 0.0000
2.2509 3.8987 0.0000
2.2509 1.2996 12.9670
Ac Rb Bi
2 1 1
Cartesian
6.7527 3.8987 4.3848 Ac
2.2509 1.2996 8.5823 Ac
0.0000 0.0000 0.0000 Rb
4.5018 2.5991 6.4835 Bi
```

Energy above the lowest structure with this stoichiometry (meV per atom): 0
D(E_F) (states/eV per cell): 5.1
DFT formation energy (eV/f.u.): -0.648

***

[3]
Density functional theory data (GGA-PBE) for a relaxed AlFe2Sb crystal.

Geometry as POSCAR:
```
AlFe2Sb
1.0
-1.8730 -3.0532 -1.7702
2.4943 -0.3685 -2.0035
3.2678 -3.2070 2.0738
Al Fe Sb
1 2 1
Cartesian
3.6959 -4.4640 -0.7202 Al
3.7031 -3.2275 1.6485 Fe
0.0414 -2.3591 -0.4839 Fe
2.5977 -1.5730 -0.0355 Sb
```

Energy above the lowest structure with this stoichiometry (meV per atom): 65
D(E_F) (states/eV per cell): 2.4

***

[4]
Density functional theory data (GGA-PBE) for a relaxed LiNdAl crystal.

Geometry as POSCAR:
```
LiNdAl
1.0
-3.8512 1.0484 3.9252
-5.3033 -2.1176 -0.6458
-1.6474 -4.2427 3.5089
Li Nd Al
2 2 2
Cartesian
-1.9256 0.5242 1.9626 Li
0.0000 0.0000 0.0000 Li
-4.7826 -3.7414 2.2948 Nd
-6.0193 -1.5704 4.4935 Nd
-2.7493 -1.5971 3.7170 Al
-4.5773 -0.5346 1.6397 Al
```

Energy above the lowest structure with this stoichiometry (meV per atom): 0
D(E_F) (states/eV per cell): 4.7
DFT formation energy (eV/f.u.): -0.654

***

[5]
Density functional theory data (GGA-PBE) for a relaxed VCo2RhC crystal.

Geometry as POSCAR:
```
VCo2RhC
1.0
-3.0749 2.1068 -0.2552
-0.6554 -1.3701 -3.4134
-2.1640 -2.9640 1.6052
Rh V Co C
1 1 2 1
Cartesian
-2.9472 -1.1137 -1.0317 Rh
-1.0820 -1.4820 0.8026 V
-0.3277 -0.6850 -1.7067 Co
-1.5374 1.0534 -0.1276 Co
0.0000 0.0000 0.0000 C
```

D(E_F) (states/eV per cell): 5.2
DFT formation energy (eV/f.u.): -0.071

***

[6]
Density functional theory data (GGA-PBE) for a relaxed InGe2P2 crystal.

Geometry as POSCAR:
```
InGe2P2
1.0
-3.7727 0.1476 -2.9452
-2.9474 -0.0358 3.7737
-3.2735 4.4506 0.5236
Ge P In
2 2 1
Cartesian
-3.3341 1.3716 0.4470 Ge
-6.6595 3.1907 0.9050 Ge
-4.7905 2.2353 2.3557 P
-5.2031 2.3270 -1.0037 P
0.0000 0.0000 0.0000 In
```

Energy above the lowest structure with this stoichiometry (meV per atom): 0
D(E_F) (states/eV per cell): 1.9
DFT formation energy (eV/f.u.): 0.974

***

[7]
Density functional theory data (GGA-PBE) for a relaxed UZnSn crystal.

Geometry as POSCAR:
```
UZnSn
1.0
-1.0705 -2.1617 1.7670
4.5867 -2.0098 0.3201
-1.4651 3.4515 3.3346
Sn Zn U
1 1 1
Cartesian
-0.1790 -0.3613 0.2954 Sn
2.3916 -0.5483 1.6183 Zn
-0.1617 0.1896 3.5081 U
```

D(E_F) (states/eV per cell): 4.0
DFT formation energy (eV/f.u.): 0.096

***

[8]
Density functional theory data (GGA-PBE) for a relaxed Pm2Ga5Pt crystal.

Geometry as POSCAR:
```
Pm2Ga5Pt
1.0
-1.0943 -2.5400 3.3008
-3.3016 -3.9917 -6.9753
7.7411 -4.6435 -1.0068
Ga Pm Pt
10 4 2
Cartesian
1.3181 -6.1746 -4.3144 Ga
-2.1095 -5.0313 -1.7620 Ga
3.2368 -4.8135 -2.6309 Ga
2.0270 -5.0006 -0.3669 Ga
0.1083 -6.3617 -2.0504 Ga
-1.4740 -2.9005 0.0884 Ga
-1.2321 -5.4909 -4.6338 Ga
4.5772 -5.6843 -0.0476 Ga
5.4547 -6.1439 -2.9194 Ga
4.8192 -8.2747 -4.7698 Ga
2.9305 -7.9354 -2.3257 Pm
0.4146 -3.2398 -2.3556 Pm
3.8705 -2.3218 -0.5034 Pm
0.0000 0.0000 0.0000 Pm
0.9408 -3.0424 0.7798 Pt
2.4043 -8.1328 -5.4612 Pt
```

Energy above the lowest structure with this stoichiometry (meV per atom): 0
D(E_F) (states/eV per cell): 6.1
DFT formation energy (eV/f.u.): -5.407